Here is a geometry-optimized Nd2PuSbN5 structure from the Alexandria database. Energies are from PBE-GGA.

Calculated values
E_form (uncorrected) in kJ/mol of formula units: -631
DOS(E_F) in states/eV/cell: 27.314
E in eV/atom: -8.462

```
data_Nd2PuSbN5
_symmetry_space_group_name_H-M 'C m c 21'
_symmetry_Int_Tables_number 36
_cell_length_a 3.509
_cell_length_b 14.399
_cell_length_c 10.669
_cell_angle_alpha 90.00
_cell_angle_beta 90.00
_cell_angle_gamma 90.00
loop_
_symmetry_equiv_pos_as_xyz
'x,y,z'
'-x,-y,z+1/2'
'-x,y,z'
'x,-y,z+1/2'
'x+1/2,y+1/2,z'
'-x+1/2,-y+1/2,z+1/2'
'-x+1/2,y+1/2,z'
'x+1/2,-y+1/2,z+1/2'
loop_
_atom_site_label
_atom_site_fract_x
_atom_site_fract_y
_atom_site_fract_z
Nd1 0.000 0.115 0.000
Nd2 0.000 0.137 0.590
Pu1 0.000 0.215 0.307
Sb1 0.000 0.486 0.772
N1 0.000 0.052 0.363
N2 0.000 0.284 0.945
N3 0.000 0.307 0.674
N4 0.000 0.373 0.310
N5 0.000 0.495 0.084
```

***

Here is a geometry-optimized NdPuSbN structure from the Alexandria database. Energies are from PBE-GGA.

Calculated values
E_form (uncorrected) in kJ/mol of formula units: -404
DOS(E_F) in states/eV/cell: 22.918
E in eV/atom: -8.935

```
data_NdPuSbN
_symmetry_space_group_name_H-M 'P 4/n m m'
_symmetry_Int_Tables_number 129
_cell_length_a 4.671
_cell_length_b 4.671
_cell_length_c 8.946
_cell_angle_alpha 90.00
_cell_angle_beta 90.00
_cell_angle_gamma 90.00
loop_
_symmetry_equiv_pos_as_xyz
'x,y,z'
'-x,-y,-z'
'-y+1/2,x,z'
'y+1/2,-x,-z'
'-x+1/2,-y+1/2,z'
'x+1/2,y+1/2,-z'
'y,-x+1/2,z'
'-y,x+1/2,-z'
'x+1/2,-y,-z'
'-x+1/2,y,z'
'-y,-x,-z'
'y,x,z'
'-x,y+1/2,-z'
'x,-y+1/2,z'
'y+1/2,x+1/2,-z'
'-y+1/2,-x+1/2,z'
loop_
_atom_site_label
_atom_site_fract_x
_atom_site_fract_y
_atom_site_fract_z
Nd1 0.250 0.750 0.000
Pu1 0.250 0.250 0.333
Sb1 0.250 0.250 0.693
N1 0.250 0.250 0.096
```

***

Here is a geometry-optimized Nd3Sm2PuN6 structure from the Alexandria database. Energies are from PBE-GGA.

Calculated values
E_form (uncorrected) in kJ/mol of formula units: -1605
DOS(E_F) in states/eV/cell: 14.340
E in eV/atom: -8.722

```
data_Nd3Sm2PuN6
_symmetry_space_group_name_H-M 'C 1 2/m 1'
_symmetry_Int_Tables_number 12
_cell_length_a 6.218
_cell_length_b 10.754
_cell_length_c 6.227
_cell_angle_alpha 90.00
_cell_angle_beta 109.48
_cell_angle_gamma 90.00
loop_
_symmetry_equiv_pos_as_xyz
'x,y,z'
'-x,-y,-z'
'-x,y,-z'
'x,-y,z'
'x+1/2,y+1/2,z'
'-x+1/2,-y+1/2,-z'
'-x+1/2,y+1/2,-z'
'x+1/2,-y+1/2,z'
loop_
_atom_site_label
_atom_site_fract_x
_atom_site_fract_y
_atom_site_fract_z
Nd1 0.000 0.000 0.000
Nd2 0.000 0.334 0.000
Sm1 0.000 0.166 0.500
Pu1 0.000 0.500 0.500
N1 0.236 0.342 0.735
N2 0.239 0.500 0.262
```

***

Here is a geometry-optimized Nd2Sm3PuN6 structure from the Alexandria database. Energies are from PBE-GGA.

Calculated values
E_form (uncorrected) in kJ/mol of formula units: -1623
DOS(E_F) in states/eV/cell: 14.370
E in eV/atom: -8.733

```
data_Nd2Sm3PuN6
_symmetry_space_group_name_H-M 'C 1 2/m 1'
_symmetry_Int_Tables_number 12
_cell_length_a 6.212
_cell_length_b 10.747
_cell_length_c 6.202
_cell_angle_alpha 90.00
_cell_angle_beta 109.54
_cell_angle_gamma 90.00
loop_
_symmetry_equiv_pos_as_xyz
'x,y,z'
'-x,-y,-z'
'-x,y,-z'
'x,-y,z'
'x+1/2,y+1/2,z'
'-x+1/2,-y+1/2,-z'
'-x+1/2,y+1/2,-z'
'x+1/2,-y+1/2,z'
loop_
_atom_site_label
_atom_site_fract_x
_atom_site_fract_y
_atom_site_fract_z
Nd1 0.000 0.166 0.000
Sm1 0.000 0.000 0.500
Sm2 0.000 0.335 0.500
Pu1 0.000 0.500 0.000
N1 0.234 0.500 0.755
N2 0.238 0.343 0.244
```

***

Here is a geometry-optimized NdSmPu2N4 structure from the Alexandria database. Energies are from PBE-GGA.

Calculated values
E_form (uncorrected) in kJ/mol of formula units: -1011
DOS(E_F) in states/eV/cell: 14.524
E in eV/atom: -10.241

```
data_NdSmPu2N4
_symmetry_space_group_name_H-M 'P 1 2/m 1'
_symmetry_Int_Tables_number 10
_cell_length_a 6.136
_cell_length_b 3.532
_cell_length_c 6.137
_cell_angle_alpha 90.00
_cell_angle_beta 110.00
_cell_angle_gamma 90.00
loop_
_symmetry_equiv_pos_as_xyz
'x,y,z'
'-x,-y,-z'
'-x,y,-z'
'x,-y,z'
loop_
_atom_site_label
_atom_site_fract_x
_atom_site_fract_y
_atom_site_fract_z
Nd1 0.000 0.000 0.000
Sm1 0.500 0.500 0.000
Pu1 0.000 0.500 0.500
Pu2 0.500 0.000 0.500
N1 0.241 0.000 0.728
N2 0.267 0.500 0.274
```

***

Here is a geometry-optimized NdSm2PuN4 structure from the Alexandria database. Energies are from PBE-GGA.

Calculated values
E_form (uncorrected) in kJ/mol of formula units: -1069
DOS(E_F) in states/eV/cell: 7.690
E in eV/atom: -9.115

```
data_NdSm2PuN4
_symmetry_space_group_name_H-M 'P 1 2/m 1'
_symmetry_Int_Tables_number 10
_cell_length_a 6.169
_cell_length_b 3.578
_cell_length_c 6.177
_cell_angle_alpha 90.00
_cell_angle_beta 109.33
_cell_angle_gamma 90.00
loop_
_symmetry_equiv_pos_as_xyz
'x,y,z'
'-x,-y,-z'
'-x,y,-z'
'x,-y,z'
loop_
_atom_site_label
_atom_site_fract_x
_atom_site_fract_y
_atom_site_fract_z
Nd1 0.000 0.000 0.000
Sm1 0.500 0.000 0.500
Sm2 0.500 0.500 0.000
Pu1 0.000 0.500 0.500
N1 0.238 0.000 0.735
N2 0.245 0.500 0.261
```